AgMo2Au after structural relaxation, computed with GGA-PBEsol.

Summary:
E (Ry per atom): -0.5438
Total moment (μB/cell): 0.0
Formation energy from the elements (eV/f.u.): 1.2
Offset from the most stable computed form (meV per atom): 0.0

a = 2.7668 Å, b = 2.7668 Å, c = 28.9105 Å
α = 90.00°, β = 90.00°, γ = 120.00°
Space group R3m (No. 160, hexagonal axes)
Inequivalent atoms, fractional coordinates:
Ag 0.0000 0.0000 0.0000 x3
Mo 0.0000 0.0000 0.2493 x3
Mo 0.0000 0.0000 0.5006 x3
Au 0.0000 0.0000 0.7515 x3